Here is a geometry-optimized NaGdMgTl structure from Alexandria via LeMat-Bulk. Energies are from GGA-PBE.

- space group = F-43m
- DFT formation energy (eV per atom) = -0.0937

Lattice parameters (Å, degrees): 5.3370 5.3370 5.3370 60.00 60.00 60.00
Last column: nearest neighbours and their distance in Å.
Element x y z (fractional)
Na: 0.0000 0.0000 0.0000  4 Tl 3.27, 4 Mg 3.27
Gd: 0.5000 0.5000 0.5000  4 Tl 3.27, 4 Mg 3.27
Mg: 0.2500 0.2500 0.2500  4 Gd 3.27, 4 Na 3.27
Tl: 0.7500 0.7500 0.7500  4 Gd 3.27, 4 Na 3.27